Record 1
Computed, not measured: a geometry-optimized KV2Ni structure at the PBE level of DFT.

The structure in POSCAR format:
```
KV2Ni
1.0
4.572 0.000 0.000
0.000 4.572 0.000
2.286 2.286 8.682
Ni K V
2 2 4
direct
0.000 0.000 0.000 Ni
0.750 0.250 0.500 Ni
0.500 0.500 0.000 K
0.250 0.750 0.500 K
0.875 0.125 0.250 V
0.875 0.625 0.250 V
0.375 0.125 0.750 V
0.875 0.125 0.750 V
```

Output
* crystal system: tetragonal

Record 2
Computed, not measured: a geometry-optimized K3VNi structure at the PBE level of DFT.

The structure in POSCAR format:
```
K3VNi
1.0
6.109 0.000 0.000
0.000 6.109 0.000
0.000 0.000 6.109
Ni K V
1 3 1
direct
0.000 0.000 0.000 Ni
0.000 0.500 0.000 K
0.000 0.000 0.500 K
0.500 0.000 0.000 K
0.500 0.500 0.500 V
```

Output
* crystal system: cubic

Record 3
Computed, not measured: a geometry-optimized KV2NiW structure at the PBE level of DFT.

The structure in POSCAR format:
```
KV2NiW
1.0
-0.380 -4.074 2.556
4.394 -1.036 -0.998
1.452 2.347 3.957
Ni K W V
1 1 1 2
direct
0.000 0.000 0.000 Ni
0.500 0.500 0.500 K
0.000 0.500 0.000 W
0.000 0.000 0.500 V
0.500 0.000 0.000 V
```

Output
* crystal system: tetragonal

Record 4
Computed, not measured: a geometry-optimized KZrVNi2 structure at the PBE level of DFT.

The structure in POSCAR format:
```
KZrVNi2
1.0
-1.057 0.779 -4.459
1.023 -5.009 -1.117
-4.434 -1.097 0.859
Ni K Zr V
2 1 1 1
direct
0.000 0.000 0.500 Ni
0.500 0.000 0.000 Ni
0.000 0.500 0.000 K
0.000 0.000 0.000 Zr
0.500 0.500 0.500 V
```

Output
* crystal system: tetragonal

Record 5
Computed, not measured: a geometry-optimized KNi2W structure at the PBE level of DFT.

The structure in POSCAR format:
```
KNi2W
1.0
-4.142 0.535 0.160
-0.090 -1.378 2.283
0.935 6.340 3.029
K Ni W
1 2 1
direct
0.500 0.535 0.772 K
0.000 0.119 0.082 Ni
0.500 0.154 0.272 Ni
0.000 0.692 0.374 W
```

Output
* crystal system: monoclinic

Record 6
Computed, not measured: a geometry-optimized KNi3W structure at the PBE level of DFT.

The structure in POSCAR format:
```
KNi3W
1.0
4.687 0.000 0.000
0.000 4.687 0.000
0.000 0.000 4.687
Ni K W
3 1 1
direct
0.000 0.500 0.000 Ni
0.000 0.000 0.500 Ni
0.500 0.000 0.000 Ni
0.500 0.500 0.500 K
0.000 0.000 0.000 W
```

Output
* crystal system: cubic

Record 7
Computed, not measured: a geometry-optimized KNi2W structure at the PBE level of DFT.

The structure in POSCAR format:
```
KNi2W
1.0
-4.253 0.859 -0.824
-2.397 -2.822 -2.408
-3.155 -2.419 1.924
K Ni W
1 2 1
direct
0.500 0.500 0.500 K
0.000 0.000 0.000 Ni
0.250 0.250 0.250 Ni
0.750 0.750 0.750 W
```

Output
* crystal system: cubic

Record 8
Computed, not measured: a geometry-optimized KNi2W structure at the PBE level of DFT.

The structure in POSCAR format:
```
KNi2W
1.0
-0.350 -2.300 1.915
0.843 -1.926 -2.159
7.731 0.767 2.334
K Ni W
1 2 1
direct
0.500 0.500 0.776 K
0.000 0.000 0.088 Ni
0.500 0.500 0.238 Ni
0.000 0.000 0.398 W
```

Output
* crystal system: tetragonal

Record 9
Computed, not measured: a geometry-optimized KNi2W structure at the PBE level of DFT.

The structure in POSCAR format:
```
KNi2W
1.0
-4.128 3.144 2.814
-1.923 -1.164 5.458
4.042 1.570 -4.005
K Ni W
1 2 1
direct
0.245 0.745 0.500 K
0.964 0.964 0.000 Ni
0.751 0.251 0.500 Ni
0.540 0.540 0.000 W
```

Output
* crystal system: orthorhombic

Record 10
Computed, not measured: a geometry-optimized KNi2W structure at the PBE level of DFT.

The structure in POSCAR format:
```
KNi2W
1.0
7.165 0.000 0.000
0.000 7.165 0.000
3.583 3.583 3.372
Ni K W
4 2 2
direct
0.702 0.125 0.250 Ni
0.048 0.625 0.250 Ni
0.375 0.298 0.750 Ni
0.875 0.952 0.750 Ni
0.500 0.500 0.000 K
0.250 0.750 0.500 K
0.000 0.000 0.000 W
0.750 0.250 0.500 W
```

Output
* crystal system: tetragonal

Record 11
Computed, not measured: a geometry-optimized KNi2W structure at the PBE level of DFT.

The structure in POSCAR format:
```
KNi2W
1.0
-2.101 -1.559 -0.429
2.045 -3.739 3.572
-2.264 2.092 3.485
K Ni W
1 2 1
direct
0.000 0.500 0.500 K
0.000 0.000 0.000 Ni
0.500 0.500 0.000 Ni
0.500 0.000 0.500 W
```

Output
* crystal system: orthorhombic

Record 12
Computed, not measured: a geometry-optimized KNiW4 structure at the PBE level of DFT.

The structure in POSCAR format:
```
KNiW4
1.0
0.000 3.825 3.825
3.825 0.000 3.825
3.825 3.825 0.000
K Ni W
1 1 4
direct
0.750 0.750 0.750 K
0.000 0.000 0.000 Ni
0.871 0.376 0.376 W
0.376 0.376 0.871 W
0.376 0.871 0.376 W
0.376 0.376 0.376 W
```

Output
* crystal system: cubic

Record 13
Computed, not measured: a geometry-optimized KNi2W structure at the PBE level of DFT.

The structure in POSCAR format:
```
KNi2W
1.0
3.318 0.000 0.000
0.000 2.811 -0.018
0.000 2.837 7.827
K Ni W
1 2 1
direct
0.500 0.750 0.750 K
0.000 0.917 0.081 Ni
0.000 0.583 0.419 Ni
0.500 0.250 0.250 W
```

Output
* crystal system: monoclinic

Record 14
Computed, not measured: a geometry-optimized KNi2W structure at the PBE level of DFT.

The structure in POSCAR format:
```
KNi2W
1.0
2.627 0.000 0.000
0.000 4.927 0.000
0.000 0.000 4.927
K Ni W
1 2 1
direct
0.500 0.000 0.500 K
0.000 0.000 0.000 Ni
0.000 0.500 0.500 Ni
0.500 0.500 0.000 W
```

Output
* crystal system: tetragonal

Record 15
Computed, not measured: a geometry-optimized KNi2W structure at the PBE level of DFT.

The structure in POSCAR format:
```
KNi2W
1.0
-3.034 2.665 2.028
-1.664 3.593 -2.177
-4.297 0.004 -1.399
Ni K W
2 1 1
direct
0.250 0.250 0.250 Ni
0.750 0.750 0.750 Ni
0.000 0.000 0.000 K
0.500 0.500 0.500 W
```

Output
* crystal system: cubic

The calculation returns the following formation enthalpy at 0 K values, one per record and in order: 1.36, 1.19, 1.46, 1.80, 0.76, 1.14, 1.54, 0.78, 0.90, 1.30, 1.48, 1.32, 0.44, 0.89, 1.37 eV/atom.
The calculation returns the following mass density values, one per record and in order: 3654, 1653, 5919, 4386, 7187, 6436, 9277, 7673, 8561, 6528, 8240, 12360, 7723, 8862, 8661 kg/m³.